Entry 1:
Below is a geometry-optimized K3SbCl6 structure, with properties calculated at the GGA-PBEsol level.

It has space group Fm-3m (No. 225), with a = 11.047 Å, b = 11.047 Å, c = 11.047 Å, α = 90.00°, β = 90.00° and γ = 90.00°. Symmetry generates all atoms from K at (0.000, 0.000, 0.000), K at (0.250, 0.250, 0.250), Sb at (0.000, 0.000, 0.500) and Cl at (0.000, 0.000, 0.263).

Its formation energy from raw total energies is -1.45 eV per atom. The value obtained for the total energy is -138.17 eV for the cell shown. Its total moment is 0.00 μB/f.u.

---

Entry 2:
Below is a geometry-optimized K2SbCl5 structure, with properties calculated at the GGA-PBEsol level.

It has space group P2_1/c (No. 14), with a = 8.889 Å, b = 12.406 Å, c = 8.768 Å, α = 90.00°, β = 110.82° and γ = 90.00°. Symmetry generates all atoms from K at (0.127, 0.129, 0.162), K at (0.322, 0.673, 0.919), Sb at (0.316, 0.007, 0.808), Cl at (0.081, 0.138, 0.791), Cl at (0.113, 0.617, 0.144), Cl at (0.257, 0.594, 0.555), Cl at (0.332, 0.074, 0.538) and Cl at (0.485, 0.152, 0.186).

Its formation energy from raw total energies is -1.43 eV per atom. The value obtained for the total energy is -113.37 eV for the cell shown. Its total moment is 0.00 μB/f.u.

---

Entry 3:
Below is a geometry-optimized KSb2Cl structure, with properties calculated at the GGA-PBEsol level.

It has space group P4/mmm (No. 123), with a = 3.274 Å, b = 3.274 Å, c = 9.987 Å, α = 90.00°, β = 90.00° and γ = 90.00°. Symmetry generates all atoms from K at (0.000, 0.000, 0.000), Sb at (0.500, 0.500, 0.283) and Cl at (0.000, 0.000, 0.500).

Its formation energy from raw total energies is 0.02 eV per atom. The value obtained for the total energy is -12.18 eV for the cell shown. Its total moment is 0.00 μB/f.u.

---

Entry 4:
Below is a geometry-optimized K2SbCl structure, with properties calculated at the GGA-PBEsol level.

It has space group I4/mmm (No. 139), with a = 5.583 Å, b = 5.583 Å, c = 8.736 Å, α = 90.00°, β = 90.00° and γ = 90.00°. Symmetry generates all atoms from K at (0.000, 0.500, 0.250), Sb at (0.000, 0.000, 0.000) and Cl at (0.000, 0.000, 0.500).

Its formation energy from raw total energies is -0.59 eV per atom. The value obtained for the total energy is -22.42 eV for the cell shown. Its total moment is 2.00 μB/f.u.

---

Entry 5:
Below is a geometry-optimized K2TlSbCl6 structure, with properties calculated at the GGA-PBEsol level.

It has space group Fm-3m (No. 225), with a = 11.095 Å, b = 11.095 Å, c = 11.095 Å, α = 90.00°, β = 90.00° and γ = 90.00°. Symmetry generates all atoms from K at (0.250, 0.250, 0.250), Tl at (0.000, 0.000, 0.000), Sb at (0.000, 0.000, 0.500) and Cl at (0.000, 0.000, 0.264).

Its formation energy from raw total energies is -1.26 eV per atom. The value obtained for the total energy is -136.31 eV for the cell shown. Its total moment is 0.00 μB/f.u.

---

Entry 6:
Below is a geometry-optimized K2ScCl structure, with properties calculated at the GGA-PBEsol level.

It has space group Immm (No. 71), with a = 3.491 Å, b = 6.160 Å, c = 13.152 Å, α = 90.00°, β = 90.00° and γ = 90.00°. Symmetry generates all atoms from K at (0.000, 0.000, 0.184), Sc at (0.000, 0.500, 0.000) and Cl at (0.000, 0.500, 0.500).

Its formation energy from raw total energies is -0.16 eV per atom. The value obtained for the energy above the most stable polymorph in this dataset is 0.3335 eV/atom. The value obtained for the total energy is -23.03 eV for the cell shown. Its total moment is 1.72 μB/f.u.

---

Entry 7:
Below is a geometry-optimized KSc2Cl structure, with properties calculated at the GGA-PBEsol level.

It has space group R-3m (No. 166, hexagonal axes), with a = 3.5711 Å, b = 3.5711 Å, c = 28.5895 Å, α = 90.00°, β = 90.00° and γ = 120.00°. Symmetry generates all atoms from K at (0.0000, 0.0000, 0.0000), Sc at (0.0000, 0.0000, 0.2171) and Cl at (0.0000, 0.0000, 0.5000).

Its formation energy from raw total energies is -0.28 eV per atom. The value obtained for the energy above the most stable polymorph in this dataset is 0.2722 eV/atom. The value obtained for the total energy is -52.46 eV for the cell shown. Its total moment is 0.00 μB/f.u.

---

Entry 8:
Below is a geometry-optimized K2ScCl structure, with properties calculated at the GGA-PBEsol level.

It has space group P4/mmm (No. 123), with a = 3.515 Å, b = 3.515 Å, c = 10.434 Å, α = 90.00°, β = 90.00° and γ = 90.00°. Symmetry generates all atoms from K at (0.000, 0.000, 0.183), Sc at (0.500, 0.500, 0.500) and Cl at (0.500, 0.500, 0.000).

Its formation energy from raw total energies is -0.49 eV per atom. The value obtained for the energy above the most stable polymorph in this dataset is 0.0000 eV/atom. The value obtained for the total energy is -12.85 eV for the cell shown. Its total moment is 1.15 μB/f.u.

---

Entry 9:
Below is a geometry-optimized KSc2Cl structure, with properties calculated at the GGA-PBEsol level.

It has space group Pm (No. 6), with a = 3.425 Å, b = 3.329 Å, c = 9.667 Å, α = 90.00°, β = 100.16° and γ = 90.00°. Symmetry generates all atoms from K at (0.000, 0.000, 0.000), Sc at (0.288, 0.000, 0.573), Sc at (0.679, 0.500, 0.353) and Cl at (0.396, 0.500, 0.791).

Its formation energy from raw total energies is -0.56 eV per atom. The value obtained for the energy above the most stable polymorph in this dataset is 0.0000 eV/atom. The value obtained for the total energy is -18.57 eV for the cell shown. Its total moment is 1.17 μB/f.u.

---

Entry 10:
Below is a geometry-optimized KScCl2 structure, with properties calculated at the GGA-PBEsol level.

It has space group F-43m (No. 216), with a = 7.246 Å, b = 7.246 Å, c = 7.246 Å, α = 90.00°, β = 90.00° and γ = 90.00°. Symmetry generates all atoms from K at (0.000, 0.000, 0.000), Sc at (0.250, 0.250, 0.750), Cl at (0.000, 0.000, 0.500) and Cl at (0.250, 0.250, 0.250).

Its formation energy from raw total energies is -0.42 eV per atom. The value obtained for the energy above the most stable polymorph in this dataset is 0.9758 eV/atom. The value obtained for the total energy is -53.67 eV for the cell shown. Its total moment is 1.95 μB/f.u.

---

Entry 11:
Below is a geometry-optimized KScCl2 structure, with properties calculated at the GGA-PBEsol level.

It has space group I-4m2 (No. 119), with a = 3.939 Å, b = 3.939 Å, c = 14.121 Å, α = 90.00°, β = 90.00° and γ = 90.00°. Symmetry generates all atoms from K at (0.000, 0.000, 0.000), Sc at (0.000, 0.500, 0.250), Cl at (0.000, 0.000, 0.500) and Cl at (0.000, 0.500, 0.750).

Its formation energy from raw total energies is -1.02 eV per atom. The value obtained for the energy above the most stable polymorph in this dataset is 0.3698 eV/atom. The value obtained for the total energy is -31.68 eV for the cell shown. Its total moment is 1.55 μB/f.u.

---

Entry 12:
Below is a geometry-optimized K3ScCl6 structure, with properties calculated at the GGA-PBEsol level.

It has space group P2_1/c (No. 14), with a = 12.525 Å, b = 7.385 Å, c = 12.701 Å, α = 90.00°, β = 107.19° and γ = 90.00°. Symmetry generates all atoms from K at (0.073, 0.067, 0.336), K at (0.294, 0.022, 0.727), K at (0.352, 0.510, 0.589), Sc at (0.000, 0.000, 0.000), Sc at (0.500, 0.000, 0.500), Cl at (0.079, 0.218, 0.597), Cl at (0.130, 0.014, 0.885), Cl at (0.138, 0.676, 0.646), Cl at (0.312, 0.103, 0.496), Cl at (0.423, 0.714, 0.410) and Cl at (0.478, 0.156, 0.319).

Its formation energy from raw total energies is -2.05 eV per atom. The value obtained for the total energy is -170.36 eV for the cell shown. Its total moment is 0.00 μB/f.u.

---

Entry 13:
Below is a geometry-optimized KScCl2 structure, with properties calculated at the GGA-PBEsol level.

It has space group P2/m (No. 10), with a = 4.633 Å, b = 3.479 Å, c = 5.672 Å, α = 90.00°, β = 90.84° and γ = 90.00°. Symmetry generates all atoms from K at (0.000, 0.000, 0.000), Sc at (0.500, 0.500, 0.500), Cl at (0.000, 0.000, 0.500) and Cl at (0.500, 0.500, 0.000).

Its formation energy from raw total energies is -1.19 eV per atom. The value obtained for the energy above the most stable polymorph in this dataset is 0.1969 eV/atom. The value obtained for the total energy is -16.53 eV for the cell shown. Its total moment is 1.11 μB/f.u.

---

Entry 14:
Below is a geometry-optimized K3ScCl6 structure, with properties calculated at the GGA-PBEsol level.

It has space group Fm-3m (No. 225), with a = 10.695 Å, b = 10.695 Å, c = 10.695 Å, α = 90.00°, β = 90.00° and γ = 90.00°. Symmetry generates all atoms from K at (0.000, 0.000, 0.000), K at (0.250, 0.250, 0.250), Sc at (0.000, 0.000, 0.500) and Cl at (0.000, 0.000, 0.270).

Its formation energy from raw total energies is -1.99 eV per atom. The value obtained for the total energy is -167.88 eV for the cell shown. Its total moment is 0.00 μB/f.u.

---

Entry 15:
Below is a geometry-optimized KScCl2 structure, with properties calculated at the GGA-PBEsol level.

It has space group P4/mmm (No. 123), with a = 3.304 Å, b = 3.304 Å, c = 7.334 Å, α = 90.00°, β = 90.00° and γ = 90.00°. Symmetry generates all atoms from K at (0.000, 0.000, 0.000), Sc at (0.000, 0.000, 0.500) and Cl at (0.500, 0.500, 0.293).

Its formation energy from raw total energies is -1.28 eV per atom. The value obtained for the energy above the most stable polymorph in this dataset is 0.1165 eV/atom. The value obtained for the total energy is -16.86 eV for the cell shown. Its total moment is 0.00 μB/f.u.

---

Entry 16:
Below is a geometry-optimized KScCl2 structure, with properties calculated at the GGA-PBEsol level.

It has space group Pmmm (No. 47), with a = 3.439 Å, b = 3.721 Å, c = 7.528 Å, α = 90.00°, β = 90.00° and γ = 90.00°. Symmetry generates all atoms from K at (0.000, 0.000, 0.000), Sc at (0.000, 0.500, 0.500) and Cl at (0.500, 0.500, 0.241).

Its formation energy from raw total energies is -1.39 eV per atom. The value obtained for the energy above the most stable polymorph in this dataset is 0.0000 eV/atom. The value obtained for the total energy is -17.32 eV for the cell shown. Its total moment is 0.66 μB/f.u.

---

Entry 17:
Below is a geometry-optimized KSeCl structure, with properties calculated at the GGA-PBEsol level.

It has space group P-6m2 (No. 187), with a = 4.7938 Å, b = 4.7938 Å, c = 4.2834 Å, α = 90.00°, β = 90.00° and γ = 120.00°. Symmetry generates all atoms from K at (0.0000, 0.0000, 0.0000), Se at (0.3333, 0.6667, 0.5000) and Cl at (0.6667, 0.3333, 0.5000).

Its formation energy from raw total energies is -0.56 eV per atom. The value obtained for the total energy is -8.67 eV for the cell shown. Its total moment is 0.00 μB/f.u.

---

Entry 18:
Below is a geometry-optimized KSe2Cl2 structure, with properties calculated at the GGA-PBEsol level.

It has space group I4/mmm (No. 139), with a = 3.744 Å, b = 3.744 Å, c = 17.484 Å, α = 90.00°, β = 90.00° and γ = 90.00°. Symmetry generates all atoms from K at (0.000, 0.000, 0.000), Se at (0.000, 0.500, 0.250) and Cl at (0.000, 0.000, 0.408).

Its formation energy from raw total energies is -0.55 eV per atom. The value obtained for the total energy is -31.18 eV for the cell shown. Its total moment is 0.01 μB/f.u.

---

Entry 19:
Below is a geometry-optimized KSiCl2 structure, with properties calculated at the GGA-PBEsol level.

It has space group Pmm2 (No. 25), with a = 3.476 Å, b = 5.225 Å, c = 5.327 Å, α = 90.00°, β = 90.00° and γ = 90.00°. Symmetry generates all atoms from K at (0.000, 0.000, 0.000), Si at (0.500, 0.500, 0.508), Cl at (0.500, 0.000, 0.506) and Cl at (0.500, 0.500, 0.079).

Its formation energy from raw total energies is -0.87 eV per atom. The value obtained for the energy above the most stable polymorph in this dataset is 0.0000 eV/atom. The value obtained for the total energy is -14.37 eV for the cell shown. Its total moment is 0.00 μB/f.u.

---

Entry 20:
Below is a geometry-optimized KSiCl2 structure, with properties calculated at the GGA-PBEsol level.

It has space group Fm-3m (No. 225), with a = 7.142 Å, b = 7.142 Å, c = 7.142 Å, α = 90.00°, β = 90.00° and γ = 90.00°. Symmetry generates all atoms from K at (0.000, 0.000, 0.000), Si at (0.000, 0.000, 0.500) and Cl at (0.250, 0.250, 0.250).

Its formation energy from raw total energies is -0.48 eV per atom. The value obtained for the energy above the most stable polymorph in this dataset is 0.3921 eV/atom. The value obtained for the total energy is -51.19 eV for the cell shown. Its total moment is 0.00 μB/f.u.

---

Entry 21:
Below is a geometry-optimized KSm2Cl7 structure, with properties calculated at the GGA-PBEsol level.

It has space group P2_1/c (No. 14), with a = 6.981 Å, b = 12.592 Å, c = 12.964 Å, α = 90.00°, β = 92.50° and γ = 90.00°. Symmetry generates all atoms from K at (0.187, 0.217, 0.472), Sm at (0.212, 0.535, 0.262), Sm at (0.290, 0.660, 0.758), Cl at (0.003, 0.209, 0.183), Cl at (0.038, 0.568, 0.618), Cl at (0.083, 0.522, 0.874), Cl at (0.252, 0.686, 0.107), Cl at (0.431, 0.063, 0.621), Cl at (0.443, 0.100, 0.877) and Cl at (0.483, 0.671, 0.341).

Its formation energy from raw total energies is -2.24 eV per atom. The value obtained for the total energy is -191.27 eV for the cell shown. Its total moment is 0.00 μB/f.u.

---

Entry 22:
Below is a geometry-optimized KSm2Cl5 structure, with properties calculated at the GGA-PBEsol level.

It has space group P2_1/c (No. 14), with a = 8.455 Å, b = 6.947 Å, c = 12.959 Å, α = 90.00°, β = 90.24° and γ = 90.00°. Symmetry generates all atoms from K at (0.000, 0.067, 0.161), Sm at (0.291, 0.533, 0.000), Sm at (0.493, 0.093, 0.164), Cl at (0.022, 0.177, 0.425), Cl at (0.256, 0.137, 0.694), Cl at (0.262, 0.653, 0.789), Cl at (0.293, 0.546, 0.498) and Cl at (0.475, 0.190, 0.371).

Its formation energy from raw total energies is -1.98 eV per atom. The value obtained for the total energy is -148.76 eV for the cell shown. Its total moment is 0.00 μB/f.u.